First-principles (GGA-PBE) data for RbLi2C2 after structural relaxation, as listed in Alexandria.

a b c (Å): 7.114 7.114 3.743
angles (deg): 90.00 90.00 90.00
Space group P4/mbm (No. 127)
Unique sites:
Rb 0.000 0.000 0.000 x2
Li 0.111 0.389 0.500 x4
C 0.065 0.565 0.000 x4

## Properties
Energy of formation: 0.398 eV/atom

---

First-principles (GGA-PBE) data for CrCu2Ni5 after structural relaxation, as listed in Alexandria.

a b c (Å): 3.565 3.565 14.092
angles (deg): 90.00 90.00 90.00
Space group I4/mmm (No. 139)
Unique sites:
Cr 0.000 0.000 0.000 x2
Cu 0.000 0.000 0.251 x4
Ni 0.000 0.000 0.500 x2
Ni 0.000 0.500 0.122 x8

## Properties
Energy of formation: 0.005 eV/atom

---

First-principles (GGA-PBE) data for MgCuSb after structural relaxation, as listed in Alexandria.

a b c (Å): 4.3127 4.3127 3.9574
angles (deg): 90.00 90.00 120.00
Space group P3m1 (No. 156)
Unique sites:
Mg 0.0000 0.0000 0.0000 x1
Cu 0.3333 0.6667 0.6239 x1
Sb 0.6667 0.3333 0.5006 x1

## Properties
Formation energy without anion corrections: -1.68 kcal/mol of atoms

---

First-principles (GGA-PBE) data for Li2CaTl2 after structural relaxation, as listed in Alexandria.

a b c (Å): 5.472 5.203 8.834
angles (deg): 90.00 104.19 90.00
Space group P2_1/m (No. 11)
Unique sites:
Li 0.138 0.250 0.023 x2
Li 0.138 0.750 0.333 x2
Ca 0.279 0.750 0.723 x2
Tl 0.304 0.250 0.498 x2
Tl 0.413 0.750 0.102 x2

## Properties
Energy of formation: -0.268 eV/atom

---

First-principles (GGA-PBE) data for La2Nd4In3 after structural relaxation, as listed in Alexandria.

a b c (Å): 15.844 11.923 5.947
angles (deg): 90.00 99.95 90.00
Space group C2/c (No. 15)
Unique sites:
La 0.227 0.129 0.352 x8
Nd 0.057 0.374 0.522 x8
Nd 0.109 0.120 0.819 x8
In 0.000 0.127 0.250 x4
In 0.163 0.376 0.082 x8

## Properties
Energy of formation: -0.304 eV/atom

---

First-principles (GGA-PBE) data for La4MoSe after structural relaxation, as listed in Alexandria.

a b c (Å): 8.840 8.840 8.840
angles (deg): 90.00 90.00 90.00
Space group F-43m (No. 216)
Unique sites:
La 0.124 0.124 0.124 x16
Mo 0.250 0.250 0.750 x4
Se 0.000 0.000 0.500 x4

## Properties
Formation energy without anion corrections: 13.63 kcal/mol of atoms

---

First-principles (GGA-PBE) data for TiVN after structural relaxation, as listed in Alexandria.

a b c (Å): 5.044 4.634 5.836
angles (deg): 90.00 90.08 90.00
Space group P2_1/c (No. 14)
Unique sites:
Ti 0.083 0.248 0.126 x4
V 0.421 0.744 0.116 x4
N 0.260 0.504 0.373 x4

## Properties
Formation energy without anion corrections: -26.00 kcal/mol of atoms

---

First-principles (GGA-PBE) data for NbTeAsN2 after structural relaxation, as listed in Alexandria.

a b c (Å): 4.062 4.062 5.944
angles (deg): 90.00 90.00 90.00
Space group P4/mmm (No. 123)
Unique sites:
Nb 0.000 0.000 0.000 x1
Te 0.000 0.000 0.500 x1
As 0.500 0.500 0.500 x1
N 0.000 0.500 0.000 x2

## Properties
Formation energy without anion corrections: 12.56 kcal/mol of atoms

---

First-principles (GGA-PBE) data for AcSn2O4 after structural relaxation, as listed in Alexandria.

a b c (Å): 6.488 7.307 7.595
angles (deg): 69.94 69.75 66.50
Space group P1 (No. 1)
Unique sites:
Ac 0.000 0.000 0.000 x1
Ac 0.194 0.116 0.350 x1
Sn 0.125 0.474 0.785 x1
Sn 0.538 0.036 0.770 x1
Sn 0.702 0.623 0.125 x1
Sn 0.787 0.712 0.488 x1
O 0.009 0.898 0.339 x1
O 0.253 0.088 0.664 x1
O 0.299 0.215 0.979 x1
O 0.437 0.789 0.995 x1
O 0.608 0.870 0.261 x1
O 0.829 0.379 0.997 x1
O 0.868 0.464 0.348 x1
O 0.972 0.714 0.929 x1

## Properties
Formation energy without anion corrections: -45.45 kcal/mol of atoms

---

First-principles (GGA-PBE) data for HfZnCd3 after structural relaxation, as listed in Alexandria.

a b c (Å): 5.710 5.710 5.710
angles (deg): 90.00 90.00 90.00
Space group Pm-3m (No. 221)
Unique sites:
Hf 0.000 0.000 0.000 x1
Zn 0.500 0.500 0.500 x1
Cd 0.000 0.000 0.500 x3

## Properties
Energy of formation: 0.999 eV/atom

---

First-principles (GGA-PBE) data for Zr3Si2H after structural relaxation, as listed in Alexandria.

a b c (Å): 10.261 5.478 7.267
angles (deg): 90.00 103.31 90.00
Space group C2/c (No. 15)
Unique sites:
Zr 0.000 0.132 0.250 x4
Zr 0.150 0.370 0.649 x8
Si 0.158 0.129 0.009 x8
H 0.000 0.489 0.250 x4

## Properties
Electronic total energy: -0.269 hartree per atom

---

First-principles (GGA-PBE) data for K2LiSb after structural relaxation, as listed in Alexandria.

a b c (Å): 3.8598 3.8598 36.3854
angles (deg): 90.00 90.00 120.00
Space group R-3m (No. 166, hexagonal axes)
Unique sites:
K 0.0000 0.0000 0.2408 x6
Li 0.0000 0.0000 0.0000 x3
Sb 0.0000 0.0000 0.5000 x3

## Properties
Formation energy without anion corrections: 1.45 kcal/mol of atoms

---

First-principles (GGA-PBE) data for BaLiCu after structural relaxation, as listed in Alexandria.

a b c (Å): 3.782 3.782 11.269
angles (deg): 90.00 90.00 90.00
Space group I4mm (No. 107)
Unique sites:
Ba 0.000 0.000 0.000 x2
Li 0.000 0.000 0.725 x2
Cu 0.000 0.000 0.308 x2

## Properties
Energy of formation: 0.115 eV/atom

---

First-principles (GGA-PBE) data for CsTl2VRh after structural relaxation, as listed in Alexandria.

a b c (Å): 6.296 6.296 5.023
angles (deg): 90.00 90.00 90.00
Space group P4/mmm (No. 123)
Unique sites:
Cs 0.000 0.000 0.000 x1
Tl 0.000 0.500 0.000 x2
V 0.500 0.500 0.500 x1
Rh 0.000 0.000 0.500 x1

## Properties
Energy of formation: 1.997 eV/atom

---

First-principles (GGA-PBE) data for La2Ga2Se after structural relaxation, as listed in Alexandria.

a b c (Å): 4.3188 4.3188 24.0967
angles (deg): 90.00 90.00 120.00
Space group R-3m (No. 166, hexagonal axes)
Unique sites:
La 0.0000 0.0000 0.0914 x6
Ga 0.0000 0.0000 0.3230 x6
Se 0.0000 0.0000 0.5000 x3

## Properties
Formation energy without anion corrections: -29.03 kcal/mol of atoms

---

First-principles (GGA-PBE) data for CdPt after structural relaxation, as listed in Alexandria.

a b c (Å): 8.237 8.237 4.738
angles (deg): 90.00 90.00 90.00
Space group P4/m (No. 83)
Unique sites:
Cd 0.070 0.739 0.000 x4
Cd 0.269 0.610 0.500 x4
Pt 0.071 0.345 0.500 x4
Pt 0.261 0.413 0.000 x4

## Properties
Energy of formation: -0.054 eV/atom

---

First-principles (GGA-PBE) data for Mo3PtRh6 after structural relaxation, as listed in Alexandria.

a b c (Å): 9.636 5.153 6.576
angles (deg): 90.00 106.84 90.00
Space group C2/m (No. 12)
Unique sites:
Mo 0.000 0.000 0.000 x2
Mo 0.112 0.000 0.675 x4
Pt 0.000 0.500 0.500 x2
Rh 0.154 0.252 0.306 x8
Rh 0.177 0.500 0.926 x4

## Properties
Energy of formation: 0.150 eV/atom

---

First-principles (GGA-PBE) data for LiZr3Ti after structural relaxation, as listed in Alexandria.

a b c (Å): 4.750 4.750 4.750
angles (deg): 90.00 90.00 90.00
Space group Pm-3m (No. 221)
Unique sites:
Li 0.000 0.000 0.000 x1
Zr 0.000 0.000 0.500 x3
Ti 0.500 0.500 0.500 x1

## Properties
Energy of formation: 0.833 eV/atom

---

First-principles (GGA-PBE) data for Ce6SiGe2 after structural relaxation, as listed in Alexandria.

a b c (Å): 4.237 13.531 7.977
angles (deg): 90.00 90.00 90.00
Space group Amm2 (No. 38)
Unique sites:
Ce 0.000 0.000 0.000 x2
Ce 0.000 0.103 0.560 x4
Ce 0.500 0.000 0.244 x2
Ce 0.500 0.205 0.913 x4
Si 0.500 0.000 0.744 x2
Ge 0.000 0.185 0.201 x4

## Properties
Formation energy without anion corrections: -12.43 kcal/mol of atoms

---

First-principles (GGA-PBE) data for NaSiOsPt2 after structural relaxation, as listed in Alexandria.

a b c (Å): 4.959 4.959 4.563
angles (deg): 90.00 90.00 90.00
Space group P4/mmm (No. 123)
Unique sites:
Na 0.000 0.000 0.000 x1
Si 0.500 0.500 0.000 x1
Os 0.500 0.500 0.500 x1
Pt 0.000 0.500 0.500 x2

## Properties
Formation energy without anion corrections: 13.32 kcal/mol of atoms

---

Number 1: magnetization 0.00 μB per cell. Number 2: magnetization 3.30 μB per cell. Number 3: magnetization 0.00 μB per cell. Number 4: magnetization 0.00 μB per cell. Number 5: magnetization 0.00 μB per cell. Number 6: magnetization 1.97 μB per cell. Number 7: magnetization 0.00 μB per cell. Number 8: magnetization 0.07 μB per cell. Number 9: magnetization 0.00 μB per cell. Number 10: magnetization 1.72 μB per cell. Number 11: magnetization 0.00 μB per cell. Number 12: magnetization 0.85 μB per cell. Number 13: magnetization 0.00 μB per cell. Number 14: magnetization 0.20 μB per cell. Number 15: magnetization 0.00 μB per cell. Number 16: magnetization 0.00 μB per cell. Number 17: magnetization 0.00 μB per cell. Number 18: magnetization 3.08 μB per cell. Number 19: magnetization 8.47 μB per cell. Number 20: magnetization 0.00 μB per cell.